Entry A
SmMg4Sc after structural relaxation. Source: Alexandria via LeMat-Bulk, functional PBE.

Results
For the volume, the calculation gives 25.10 Å³ per atom. The calculation puts the density of states at the Fermi level at 0.934 states/eV per atom.

Cell lengths 8.962, 5.174, 6.495 Å; angles 90.00, 90.31, 90.00 degrees
Space group C2/m (No. 12)
One atom of each set of equivalent atoms:
Sm 0.000 0.000 0.000 (multiplicity 2)
Mg 0.166 0.500 0.742 (multiplicity 4)
Mg 0.167 0.500 0.257 (multiplicity 4)
Sc 0.000 0.000 0.500 (multiplicity 2)

---

Entry B
SmMg4Sc after structural relaxation. Source: Alexandria via LeMat-Bulk, functional PBE.

Results
For the volume, the calculation gives 24.97 Å³ per atom. The calculation puts the density of states at the Fermi level at 0.999 states/eV per atom.

Cell lengths 13.875, 3.305, 6.733 Å; angles 90.00, 103.93, 90.00 degrees
Space group C2/m (No. 12)
One atom of each set of equivalent atoms:
Sm 0.000 0.000 0.000 (multiplicity 2)
Mg 0.169 0.500 0.346 (multiplicity 4)
Mg 0.175 0.500 0.827 (multiplicity 4)
Sc 0.000 0.000 0.500 (multiplicity 2)

---

Relative energies, meV per atom: entry A 0; entry B 13.